A relaxed structure of AgOsC2, computed with PBE-GGA.

Summary:
E_form   1081.9 meV per atom
Magnetic moment   0.0 Bohr magnetons per cell
Calculated density   9.50 g cm⁻³
Offset from the most stable computed form   0.000 eV/atom

Lattice parameters (Å, degrees): 4.903 4.903 5.826 65.11 65.11 90.00
Element x y z (fractional)
C 0.690 0.125 0.250
C 0.060 0.625 0.250
C 0.375 0.310 0.750
C 0.875 0.940 0.750
Os 0.000 0.000 0.000
Os 0.750 0.250 0.500
Ag 0.500 0.500 0.000
Ag 0.250 0.750 0.500